#i
Entry from Alexandria via LeMat-Bulk: a geometry-optimized Zn2TeCl structure (PBE).

```
Zn2TeCl
1.0
4.9748 0.0010 0.0000
-0.0013 4.9748 0.0000
0.0000 0.0000 3.4730
Zn Cl Te
2 1 1
Cartesian
0.0000 0.0000 0.0000
2.4867 2.4879 0.0000
2.4874 0.0005 1.7365
-0.0007 2.4874 1.7365
```

N(E_F), states/eV/cell: 1.756



#ii
Entry from Alexandria via LeMat-Bulk: a geometry-optimized Zn2TeCl structure (PBE).

```
Zn2TeCl
1.0
-2.6655 1.6265 -0.2294
-2.3950 -3.5806 2.4427
1.1750 2.6322 5.0105
Te Cl Zn
1 1 2
Cartesian
-0.6100 -0.4742 3.7266
-0.7453 2.1294 2.3906
0.0000 0.0000 0.0000
-2.5303 -0.9770 1.1066
```

N(E_F), states/eV/cell: 2.159



#iii
Entry from Alexandria via LeMat-Bulk: a geometry-optimized Zn2TeCl structure (PBE).

```
Zn2TeCl
1.0
-0.8300 -3.3806 0.7716
5.4302 -1.3717 -0.1682
-0.0917 1.2570 5.4087
Cl Zn Te
1 2 1
Cartesian
0.9196 -1.7190 1.6959
3.1471 -0.3160 2.0010
4.9524 -1.1130 0.4510
3.5889 -1.7763 4.3162
```

N(E_F), states/eV/cell: 1.436



Most stable one: #iii, least stable one: #ii.



#i
Entry from Alexandria via LeMat-Bulk: a geometry-optimized ZrTeCl3 structure (PBE).

```
ZrTeCl3
1.0
5.4866 0.0000 0.0000
0.0000 5.4866 0.0000
0.0000 0.0000 5.4866
Cl Zr Te
3 1 1
Cartesian
0.0000 2.7433 0.0000
0.0000 0.0000 2.7433
2.7433 0.0000 0.0000
2.7433 2.7433 2.7433
0.0000 0.0000 0.0000
```

N(E_F), states/eV/cell: 8.132



#ii
Entry from Alexandria via LeMat-Bulk: a geometry-optimized ZrTeCl3 structure (PBE).

```
ZrTeCl3
1.0
5.1238 0.0000 0.0000
0.0000 5.1238 0.0000
0.0000 0.0000 5.1238
Cl Zr Te
3 1 1
Cartesian
0.0000 2.5619 0.0000
0.0000 0.0000 2.5619
2.5619 0.0000 0.0000
0.0000 0.0000 0.0000
2.5619 2.5619 2.5619
```

N(E_F), states/eV/cell: 4.189



Most stable one: #ii, least stable one: #i.



#i
Entry from Alexandria via LeMat-Bulk: a geometry-optimized Ti2Tl2Cl7 structure (PBE).

```
Ti2Tl2Cl7
1.0
-3.2680 -5.9989 -1.8941
5.9033 -3.4828 4.3897
-6.5695 3.7487 3.0063
Cl Ti Tl
7 2 2
Cartesian
-1.1072 -1.3795 2.7717
0.0000 0.0000 0.0000
-4.5779 -3.5339 0.0795
0.6437 -2.1991 5.4224
-0.8400 -5.7011 0.4941
-2.8269 -4.3536 2.7302
-3.0942 -0.0320 5.0078
-0.7469 -0.3409 4.9522
-3.1873 -5.3922 0.5497
0.4903 -4.2913 3.0235
-4.4245 -1.4418 2.4784
```

N(E_F), states/eV/cell: 1.193



#ii
Entry from Alexandria via LeMat-Bulk: a geometry-optimized Ti2Tl2Cl7 structure (PBE).

```
Ti2Tl2Cl7
1.0
6.8636 -0.2118 -0.2764
-0.3115 6.2023 2.6459
-0.3578 -0.6074 6.7133
Cl Tl Ti
7 2 2
Cartesian
5.0145 2.9957 5.0725
1.0006 2.5136 7.5645
5.1736 -0.0755 3.2774
1.1798 2.3874 4.0103
1.0207 5.4586 5.8054
5.1936 2.8695 1.5183
0.0000 0.0000 0.0000
3.1100 4.5803 3.4132
3.0843 0.8028 5.6696
0.0512 1.3181 2.2073
6.1430 4.0650 6.8755
```

N(E_F), states/eV/cell: 7.599



Most stable one: #i, least stable one: #ii.



#i
Entry from Alexandria via LeMat-Bulk: a geometry-optimized TiTl2Cl6 structure (PBE).

```
TiTl2Cl6
1.0
7.0779 0.0000 -0.3712
0.0000 7.6655 0.0000
0.3408 0.0000 9.9519
Cl Ti Tl
12 2 4
Cartesian
6.7126 7.5587 2.3100
1.4362 1.9596 4.5803
0.7060 0.1068 7.2707
2.2731 5.7924 0.2101
3.3441 3.9396 7.4716
5.9824 5.7059 5.0005
5.7963 5.1711 9.3677
5.1455 1.8731 9.3707
1.6223 2.4944 0.2131
4.0746 3.7260 2.1092
5.3316 1.3384 5.0035
2.0870 6.3272 4.5773
3.5389 3.8328 -0.1856
0.1704 0.0000 4.9760
3.5071 0.5580 2.3102
0.2022 4.3907 2.4802
7.2165 3.2748 7.1006
3.9115 7.1075 7.2706
```

N(E_F), states/eV/cell: 0.000



#ii
Entry from Alexandria via LeMat-Bulk: a geometry-optimized TiTl2Cl6 structure (PBE).

```
TiTl2Cl6
1.0
-1.3296 -5.2908 -4.1700
5.7591 -3.0978 2.0941
-6.5662 -5.8093 9.4644
Cl Tl Ti
12 4 2
Cartesian
0.5531 -7.7779 2.0970
-0.9731 -5.6758 -1.8535
-1.1636 -8.5221 9.2421
3.3573 -6.3581 -1.5734
-1.1685 -9.3010 4.5786
-5.8177 -9.9619 5.1294
0.6475 -6.5681 5.2106
3.6810 -4.2360 2.2592
-2.6898 -6.4200 5.2915
1.0722 -2.0305 -0.5025
-2.7842 -7.6298 2.1780
-0.9682 -4.8969 2.8100
-4.3662 -3.8629 6.2933
-2.2000 -1.9464 3.1711
1.1317 -5.1525 0.5232
-3.2684 -9.0454 6.8654
0.0000 0.0000 0.0000
-1.0684 -7.0989 3.6943
```

N(E_F), states/eV/cell: 0.000



Most stable one: #i, least stable one: #ii.



#i
Entry from Alexandria via LeMat-Bulk: a geometry-optimized TiTl3Cl6 structure (PBE).

```
TiTl3Cl6
1.0
-5.4650 2.9077 -3.4991
2.8673 -4.1067 -5.0476
-2.5874 -4.4336 6.1606
Ti Cl Tl
1 6 3
Cartesian
0.0000 0.0000 0.0000
-2.0821 -3.3631 4.0306
-3.6815 -4.1013 -1.2317
-3.6312 1.3640 -3.8399
1.0336 -2.5630 -4.7068
-3.1030 -2.2695 -6.4168
-1.5036 -1.5312 -1.1544
-4.6756 -1.0627 -0.8060
-1.2988 -0.5995 -4.2734
-0.5095 -4.5699 -1.5802
```

N(E_F), states/eV/cell: 6.877



#ii
Entry from Alexandria via LeMat-Bulk: a geometry-optimized TiTl3Cl6 structure (PBE).

```
TiTl3Cl6
1.0
-0.5204 -7.1558 -0.9650
7.5038 -0.1702 -2.7845
3.5910 -2.0378 9.8019
Cl Tl Ti
12 6 2
Cartesian
6.5030 -4.3372 5.1191
4.1026 -2.5640 3.3743
3.5237 -5.8587 4.2326
6.2955 -2.2338 -2.2447
3.1332 -2.3996 7.4277
8.4994 -8.0999 6.2703
4.0713 -5.0266 0.9333
6.4717 -6.7997 2.6781
7.4411 -6.9641 -1.3753
7.0506 -3.5051 1.8198
4.2788 -7.1300 8.2971
2.0749 -1.2639 -0.2179
5.2090 -0.8187 0.9445
1.7955 -1.0189 4.9009
3.4917 -3.6630 -1.8747
1.1442 -3.8873 1.6861
9.4302 -5.4765 4.3663
5.3653 -8.5450 5.1079
0.0000 0.0000 0.0000
5.2872 -4.6819 3.0262
```

N(E_F), states/eV/cell: 13.312



Most stable one: #ii, least stable one: #i.



#i
Entry from Alexandria via LeMat-Bulk: a geometry-optimized Ti3TlCl structure (PBE).

```
Ti3TlCl
1.0
4.5273 0.0000 0.0000
0.0000 4.5273 0.0000
0.0000 0.0000 4.5273
Ti Tl Cl
3 1 1
Cartesian
0.0000 0.0000 2.2636
2.2636 0.0000 0.0000
0.0000 2.2636 0.0000
2.2636 2.2636 2.2636
0.0000 0.0000 0.0000
```

N(E_F), states/eV/cell: 7.589



#ii
Entry from Alexandria via LeMat-Bulk: a geometry-optimized Ti3TlCl structure (PBE).

```
Ti3TlCl
1.0
-1.1970 1.0284 -5.0432
2.4455 -4.4424 -1.4863
-4.5289 -2.6706 0.5304
Ti Tl Cl
3 1 1
Cartesian
-2.2645 -1.3353 0.2652
1.2227 -2.2212 -0.7431
-0.5985 0.5142 -2.5216
0.0000 0.0000 0.0000
-1.6402 -3.0423 -2.9996
```

N(E_F), states/eV/cell: 6.325



Most stable one: #i, least stable one: #ii.



#i
Entry from Alexandria via LeMat-Bulk: a geometry-optimized Ti2TlCl structure (PBE).

```
Ti2TlCl
1.0
-3.0048 -3.5491 -1.0266
-1.1947 -3.1556 3.3606
-4.4025 0.0071 1.8157
Tl Ti Cl
1 2 1
Cartesian
-4.3010 -3.3488 2.0749
-6.4515 -5.0231 3.1123
-2.1505 -1.6744 1.0374
0.0000 0.0000 0.0000
```

N(E_F), states/eV/cell: 2.838



#ii
Entry from Alexandria via LeMat-Bulk: a geometry-optimized Ti2TlCl structure (PBE).

```
Ti2TlCl
1.0
4.8317 0.0000 0.0000
0.0000 4.8317 0.0000
2.4159 2.4159 7.9804
Tl Ti Cl
2 4 2
Cartesian
4.8317 2.4159 3.9902
0.0000 0.0000 0.0000
2.9923 1.2079 1.9951
6.0397 5.4082 5.9853
1.8394 3.6238 1.9951
3.6238 4.2553 5.9853
2.4159 4.8317 3.9902
2.4159 2.4159 0.0000
```

N(E_F), states/eV/cell: 11.551



Most stable one: #i, least stable one: #ii.



#i
Entry from Alexandria via LeMat-Bulk: a geometry-optimized TiTlCl4 structure (PBE).

```
TiTlCl4
1.0
-2.4236 -5.4194 1.9220
4.5664 -3.3936 -3.8107
4.5841 3.6216 5.8625
Cl Tl Ti
8 2 2
Cartesian
4.2422 -2.2343 0.2932
2.4846 -2.9572 3.6806
1.2514 -4.6376 0.8786
2.2566 0.1279 1.9626
2.6545 -0.0595 5.4269
5.4754 -0.5539 3.0951
4.0724 -5.1320 -1.4532
4.4702 -5.3194 2.0112
0.6776 -1.8860 -0.5847
1.4652 -6.9271 -1.3040
1.0802 -0.8989 3.8922
4.5752 0.1140 1.0259
```

N(E_F), states/eV/cell: 4.840



#ii
Entry from Alexandria via LeMat-Bulk: a geometry-optimized TiTlCl4 structure (PBE).

```
TiTlCl4
1.0
-0.5510 0.7902 4.8029
5.2137 -7.3732 1.8113
7.5214 5.3156 -0.0117
Cl Ti Tl
8 2 2
Cartesian
1.4978 1.3282 1.0956
5.1160 0.7436 1.6069
7.5663 0.7283 4.6020
4.3188 -1.5668 4.6070
0.7005 -0.9822 4.0957
5.7717 4.3487 1.0890
7.3671 -2.4399 2.3890
3.6631 -5.1719 5.1250
0.0000 0.0000 0.0000
6.3675 -1.0288 0.8998
2.5219 -3.5648 1.6459
3.2946 3.3262 4.0568
```

N(E_F), states/eV/cell: 7.360



Most stable one: #i, least stable one: #ii.



#i
Entry from Alexandria via LeMat-Bulk: a geometry-optimized Ti2VCl6 structure (PBE).

```
Ti2VCl6
1.0
-2.4628 2.1239 -0.7028
0.1926 -4.3603 -5.9762
-5.0166 -3.3457 7.4679
Cl Ti V
6 2 1
Cartesian
-5.0747 -5.0453 2.5356
-3.2878 -2.6951 -4.4991
-3.9989 -2.8871 5.2879
-2.9302 -3.8444 -1.3501
-2.2120 -0.5369 -1.7468
-4.3566 -1.7378 2.1389
-1.2853 -2.4739 -2.9723
-6.0015 -3.1083 3.7611
-4.9710 0.4511 3.0311
```

N(E_F), states/eV/cell: 2.725



#ii
Entry from Alexandria via LeMat-Bulk: a geometry-optimized Ti2VCl6 structure (PBE).

```
Ti2VCl6
1.0
-5.5093 -0.1736 -3.2268
2.5132 -7.1420 -3.6214
-3.3652 -4.4495 6.2704
Cl V Ti
12 2 4
Cartesian
-4.9241 -7.7603 -0.2406
-1.6920 -7.8922 0.5695
-4.6692 -3.8729 -1.1473
1.0453 -5.4137 -3.2026
-1.4371 -4.0048 -0.3372
-2.0314 -5.4331 -3.9571
-7.4065 -6.3514 2.6247
-3.5629 -8.0318 -4.1598
-4.3298 -6.3320 3.3792
-6.1208 -3.4799 2.6072
-0.2405 -8.2852 -3.1850
-2.7983 -3.7333 3.5820
-4.5210 -4.5943 5.0909
-1.8402 -7.1708 -5.6687
-3.5204 -9.3779 1.0203
-5.8090 -9.6781 -1.3774
-2.8408 -2.3872 -1.5981
-0.5522 -2.0870 0.7996
```

N(E_F), states/eV/cell: 7.802



Most stable one: #i, least stable one: #ii.



#i
Entry from Alexandria via LeMat-Bulk: a geometry-optimized Ti3VCl structure (PBE).

```
Ti3VCl
1.0
-0.8656 0.5834 -4.5578
1.4606 -4.3625 -0.8358
-4.3566 -1.5785 0.6254
Ti Cl V
3 1 1
Cartesian
0.7303 -2.1812 -0.4179
-0.4328 0.2917 -2.2789
-2.1783 -0.7893 0.3127
-1.8808 -2.6788 -2.3841
0.0000 0.0000 0.0000
```

N(E_F), states/eV/cell: 6.538



#ii
Entry from Alexandria via LeMat-Bulk: a geometry-optimized Ti3VCl structure (PBE).

```
Ti3VCl
1.0
4.4345 0.0000 0.0000
0.0000 4.4345 0.0000
0.0000 0.0000 4.4345
Ti V Cl
3 1 1
Cartesian
2.2172 0.0000 0.0000
0.0000 2.2172 0.0000
0.0000 0.0000 2.2172
2.2172 2.2172 2.2172
0.0000 0.0000 0.0000
```

N(E_F), states/eV/cell: 6.098



Most stable one: #ii, least stable one: #i.



#i
Entry from Alexandria via LeMat-Bulk: a geometry-optimized Ti2WCl2 structure (PBE).

```
Ti2WCl2
1.0
-3.2900 -6.3389 2.5658
5.9114 -1.2047 4.6036
-1.3019 1.5127 2.0676
Cl Ti W
4 4 2
Cartesian
2.4484 -4.2690 6.6619
-1.3178 -5.2282 4.9922
2.6372 -0.8028 4.2449
-1.1290 -1.7620 2.5752
3.7918 -3.0084 4.5885
-1.1704 -4.5352 2.5809
1.2898 -1.5319 1.9329
1.3316 -6.0117 5.2366
1.3107 -3.7718 3.5847
0.0000 0.0000 0.0000
```

N(E_F), states/eV/cell: 11.141



#ii
Entry from Alexandria via LeMat-Bulk: a geometry-optimized Ti2WCl2 structure (PBE).

```
Ti2WCl2
1.0
-3.5270 1.2370 0.3093
-1.2676 -3.4999 -0.4573
-2.1673 -2.0235 6.1156
Ti Cl W
2 2 1
Cartesian
-2.3463 -1.3293 1.2990
-4.6156 -2.9571 4.6686
-2.9161 -3.3275 2.7922
-4.0458 -0.9590 3.1755
0.0000 0.0000 0.0000
```

N(E_F), states/eV/cell: 1.724



Most stable one: #ii, least stable one: #i.